Entry 1:
## Li2YGeTe4 (PBE)

Data for an optimized crystal structure of Li2YGeTe4.

Values from the calculation:
- formation energy without anion corrections (eV per atom) = -0.80

```
data_Li2YGeTe4
_space_group_name_H-M_alt 'P 1'
_space_group_IT_number 1
_cell_length_a 4.1668
_cell_length_b 7.5225
_cell_length_c 7.3603
_cell_angle_alpha 108.77
_cell_angle_beta 90.00
_cell_angle_gamma 90.00
loop_
_space_group_symop_operation_xyz
'x,y,z'
loop_
_atom_site_label
_atom_site_fract_x
_atom_site_fract_y
_atom_site_fract_z
_atom_site_occupancy
Te1 0.0000 0.7603 0.2547 1
Ge1 0.0000 0.0000 0.0000 1
Li1 0.0000 0.5000 0.5000 1
Li2 0.5000 0.0000 0.5000 1
Te2 0.0000 0.2397 0.7453 1
Te3 0.5000 0.2385 0.2478 1
Te4 0.5000 0.7615 0.7522 1
Y1 0.5000 0.5000 0.0000 1
```

Entry 2:
## K3Co5Br12 (PBE)

Data for an optimized crystal structure of K3Co5Br12.

Values from the calculation:
- formation energy without anion corrections (eV per atom) = -0.67

```
data_K3Co5Br12
_space_group_name_H-M_alt 'P 1'
_space_group_IT_number 1
_cell_length_a 14.4274
_cell_length_b 14.4274
_cell_length_c 14.4274
_cell_angle_alpha 109.47
_cell_angle_beta 109.47
_cell_angle_gamma 109.47
loop_
_space_group_symop_operation_xyz
'x,y,z'
loop_
_atom_site_label
_atom_site_fract_x
_atom_site_fract_y
_atom_site_fract_z
_atom_site_occupancy
K1 0.6250 0.3750 0.7500 1
Br1 0.3183 0.5122 0.4029 1
Br2 0.9029 0.8183 0.5122 1
Co1 0.5000 0.5000 0.5000 1
K2 0.3750 0.7500 0.6250 1
Br3 0.6817 0.1939 0.5846 1
Co2 0.5000 0.0000 0.5000 1
Br4 0.6093 0.0122 0.1939 1
Br5 0.3907 0.4029 0.0846 1
Br6 0.9878 0.5971 0.1817 1
Br7 0.8183 0.9029 0.0122 1
Br8 0.4878 0.8061 0.8907 1
Co3 0.1250 0.7500 0.3750 1
Co4 0.3750 0.1250 0.7500 1
Br9 0.8061 0.4878 0.3907 1
Br10 0.0122 0.6093 0.6939 1
Br11 0.3907 0.9878 0.8061 1
Br12 0.1939 0.5122 0.6093 1
Br13 0.4029 0.3907 0.5846 1
Br14 0.4154 0.1093 0.5971 1
Co5 0.7500 0.1250 0.8750 1
Co6 0.6250 0.7500 0.8750 1
Co7 0.5000 0.5000 0.0000 1
K3 0.1250 0.8750 0.7500 1
Co8 0.0000 0.0000 0.0000 1
Br15 0.1939 0.6817 0.0846 1
Br16 0.8183 0.9154 0.3061 1
Br17 0.6093 0.5971 0.9154 1
Br18 0.9154 0.8183 0.8061 1
K4 0.3750 0.6250 0.2500 1
Br19 0.9878 0.3907 0.3061 1
Co9 0.2500 0.3750 0.6250 1
Co10 0.0000 0.5000 0.0000 1
Br20 0.8907 0.5846 0.9029 1
Br21 0.6939 0.1093 0.0122 1
Br22 0.4878 0.6817 0.0971 1
Br23 0.1817 0.0971 0.9878 1
Br24 0.3061 0.8907 0.9878 1
Br25 0.1093 0.4154 0.0971 1
Br26 0.8061 0.3183 0.9154 1
K5 0.1250 0.2500 0.8750 1
Br27 0.5971 0.6093 0.4154 1
K6 0.2500 0.6250 0.8750 1
Br28 0.9154 0.0971 0.6093 1
Br29 0.0846 0.9029 0.3907 1
Br30 0.0971 0.9154 0.1093 1
Br31 0.3061 0.4154 0.8183 1
Co11 0.3750 0.2500 0.1250 1
Co12 0.0000 0.5000 0.5000 1
Br32 0.0122 0.4029 0.8183 1
Co13 0.6250 0.8750 0.2500 1
Co14 0.8750 0.2500 0.6250 1
Co15 0.5000 0.0000 0.0000 1
Co16 0.8750 0.6250 0.7500 1
Br33 0.0971 0.1817 0.4878 1
Br34 0.9029 0.0846 0.8907 1
Co17 0.7500 0.6250 0.3750 1
Br35 0.1817 0.0846 0.6939 1
Br36 0.1093 0.6939 0.5122 1
Br37 0.5971 0.9878 0.6817 1
K7 0.6250 0.2500 0.3750 1
K8 0.8750 0.7500 0.1250 1
Br38 0.3183 0.8061 0.4154 1
Br39 0.6817 0.4878 0.5971 1
Co18 0.1250 0.3750 0.2500 1
Br40 0.5846 0.8907 0.4029 1
Br41 0.5846 0.6939 0.6817 1
Br42 0.5122 0.1939 0.1093 1
K9 0.7500 0.3750 0.1250 1
K10 0.8750 0.1250 0.2500 1
Br43 0.8907 0.3061 0.4878 1
Br44 0.6939 0.5846 0.1817 1
Br45 0.5122 0.3183 0.9029 1
Br46 0.4029 0.0122 0.3183 1
K11 0.7500 0.8750 0.6250 1
K12 0.2500 0.1250 0.3750 1
Br47 0.0846 0.1817 0.1939 1
Br48 0.4154 0.3061 0.3183 1
Co19 0.2500 0.8750 0.1250 1
Co20 0.0000 0.0000 0.5000 1
```

Entry 3:
## Ru3Pb4 (PBE)

Data for an optimized crystal structure of Ru3Pb4.

Values from the calculation:
- formation enthalpy at 0 K (eV/atom) = 0.347

```
data_Ru3Pb4
_space_group_name_H-M_alt 'P 1'
_space_group_IT_number 1
_cell_length_a 15.3532
_cell_length_b 15.3532
_cell_length_c 15.3532
_cell_angle_alpha 168.00
_cell_angle_beta 168.00
_cell_angle_gamma 17.00
loop_
_space_group_symop_operation_xyz
'x,y,z'
loop_
_atom_site_label
_atom_site_fract_x
_atom_site_fract_y
_atom_site_fract_z
_atom_site_occupancy
Pb1 0.1624 0.1624 0.0000 1
Pb2 0.4413 0.4413 0.0000 1
Pb3 0.8376 0.8376 0.0000 1
Ru1 0.7276 0.7276 0.0000 1
Ru2 0.0000 0.0000 0.0000 1
Pb4 0.5587 0.5587 0.0000 1
Ru3 0.2724 0.2724 0.0000 1
```